# 1
Material: BeTc2Se
Method: DFT, SCAN
State: PBEsol geometry

Cell and atoms, written as CIF:
```
data_BeTc2Se
_chemical_formula_sum 'Be2 Tc4 Se2'
_cell_length_a 7.785
_cell_length_b 2.908
_cell_length_c 4.757
_cell_angle_alpha 90.00
_cell_angle_beta 102.88
_cell_angle_gamma 90.00
_space_group_name_H-M_alt 'C 1 2/m 1'
_space_group_IT_number 12
loop_
_space_group_symop_operation_xyz
'x,y,z'
'-x,-y,-z'
'-x,y,-z'
'x,-y,z'
'x+1/2,y+1/2,z'
'-x+1/2,-y+1/2,-z'
'-x+1/2,y+1/2,-z'
'x+1/2,-y+1/2,z'
loop_
_atom_site_label
_atom_site_fract_x
_atom_site_fract_y
_atom_site_fract_z
Be1 0.000 0.000 0.000
Tc1 0.234 0.500 0.230
Se1 0.000 0.500 0.500
```

Output
Energy above the most stable polymorph in this dataset ... 192 meV per atom
Raw formation energy ... 0.248 eV/atom

# 2
Material: TaBiPt3
Method: DFT, SCAN
State: PBEsol geometry

Cell and atoms, written as CIF:
```
data_TaBiPt3
_chemical_formula_sum 'Ta1 Bi1 Pt3'
_cell_length_a 4.892
_cell_length_b 4.892
_cell_length_c 4.892
_cell_angle_alpha 90.00
_cell_angle_beta 90.00
_cell_angle_gamma 90.00
_space_group_name_H-M_alt 'P m -3 m'
_space_group_IT_number 221
_space_group_name_Hall '-P 4 2 3'
loop_
_atom_site_label
_atom_site_fract_x
_atom_site_fract_y
_atom_site_fract_z
Ta1 0.000 0.000 0.000
Bi1 0.500 0.500 0.500
Pt1 0.000 0.500 0.500
```

Output
Formation energy ... 1.668 eV per atom

# 3
Material: Hf2GaHgRh
Method: DFT, SCAN
State: PBEsol geometry

Cell and atoms, written as CIF:
```
data_Hf2GaHgRh
_chemical_formula_sum 'Hf2 Ga1 Hg1 Rh1'
_cell_length_a 4.864
_cell_length_b 4.864
_cell_length_c 4.607
_cell_angle_alpha 90.00
_cell_angle_beta 90.00
_cell_angle_gamma 90.00
_space_group_name_H-M_alt 'P 4/m m m'
_space_group_IT_number 123
_space_group_name_Hall '-P 4 2'
loop_
_atom_site_label
_atom_site_fract_x
_atom_site_fract_y
_atom_site_fract_z
Hf1 0.000 0.500 0.000
Ga1 0.000 0.000 0.000
Hg1 0.000 0.000 0.500
Rh1 0.500 0.500 0.500
```

Output
Formation energy ... 0.793 eV per atom

# 4
Material: Sc2CdCo
Method: DFT, SCAN
State: PBEsol geometry

Cell and atoms, written as CIF:
```
data_Sc2CdCo
_chemical_formula_sum 'Sc4 Cd2 Co2'
_cell_length_a 3.078
_cell_length_b 4.650
_cell_length_c 10.192
_cell_angle_alpha 90.00
_cell_angle_beta 90.00
_cell_angle_gamma 90.00
_space_group_name_H-M_alt 'I m m 2'
_space_group_IT_number 44
loop_
_space_group_symop_operation_xyz
'x,y,z'
'-x,-y,z'
'-x,y,z'
'x,-y,z'
'x+1/2,y+1/2,z+1/2'
'-x+1/2,-y+1/2,z+1/2'
'-x+1/2,y+1/2,z+1/2'
'x+1/2,-y+1/2,z+1/2'
loop_
_atom_site_label
_atom_site_fract_x
_atom_site_fract_y
_atom_site_fract_z
Sc1 0.000 0.000 0.000
Sc2 0.000 0.500 0.196
Cd1 0.000 0.000 0.407
Co1 0.000 0.500 0.696
```

Output
Formation energy ... -0.175 eV per atom

# 5
Material: FeHgRu2
Method: DFT, SCAN
State: PBEsol geometry

Cell and atoms, written as CIF:
```
data_FeHgRu2
_chemical_formula_sum 'Fe2 Hg2 Ru4'
_cell_length_a 8.902
_cell_length_b 2.792
_cell_length_c 4.745
_cell_angle_alpha 90.00
_cell_angle_beta 100.56
_cell_angle_gamma 90.00
_space_group_name_H-M_alt 'C 1 m 1'
_space_group_IT_number 8
loop_
_space_group_symop_operation_xyz
'x,y,z'
'x,-y,z'
'x+1/2,y+1/2,z'
'x+1/2,-y+1/2,z'
loop_
_atom_site_label
_atom_site_fract_x
_atom_site_fract_y
_atom_site_fract_z
Fe1 0.000 0.000 0.000
Hg1 0.245 0.000 0.741
Ru1 0.243 0.500 0.241
Ru2 0.485 0.000 0.432
```

Output
Formation energy ... 0.405 eV per atom

# 6
Material: NaPrSe2
Method: DFT, SCAN
State: PBEsol geometry

Cell and atoms, written as CIF:
```
data_NaPrSe2
_chemical_formula_sum 'Na3 Pr3 Se6'
_cell_length_a 4.2584
_cell_length_b 4.2584
_cell_length_c 20.6703
_cell_angle_alpha 90.00
_cell_angle_beta 90.00
_cell_angle_gamma 120.00
_space_group_name_H-M_alt 'R -3 m'
_space_group_IT_number 166
_space_group_name_Hall '-R 3 2"'
loop_
_atom_site_label
_atom_site_fract_x
_atom_site_fract_y
_atom_site_fract_z
Na1 0.0000 0.0000 0.0000
Pr1 0.0000 0.0000 0.5000
Se1 0.0000 0.0000 0.2465
```

Output
Raw formation energy ... -1.922 eV/atom

# 7
Material: HfTcTe2
Method: DFT, SCAN
State: PBEsol geometry

Cell and atoms, written as CIF:
```
data_HfTcTe2
_chemical_formula_sum 'Hf4 Tc4 Te8'
_cell_length_a 4.686
_cell_length_b 4.686
_cell_length_c 17.084
_cell_angle_alpha 90.00
_cell_angle_beta 90.00
_cell_angle_gamma 90.00
_space_group_name_H-M_alt 'I -4 2 d'
_space_group_IT_number 122
_space_group_name_Hall 'I -4 2bw'
loop_
_atom_site_label
_atom_site_fract_x
_atom_site_fract_y
_atom_site_fract_z
Hf1 0.000 0.000 0.000
Tc1 0.000 0.000 0.500
Te1 0.222 0.250 0.625
```

Output
Raw formation energy ... 0.270 eV/atom

# 8
Material: KTe2Au2
Method: DFT, SCAN
State: PBEsol geometry

Cell and atoms, written as CIF:
```
data_KTe2Au2
_chemical_formula_sum 'K2 Te4 Au4'
_cell_length_a 5.461
_cell_length_b 5.461
_cell_length_c 11.150
_cell_angle_alpha 90.00
_cell_angle_beta 90.00
_cell_angle_gamma 90.00
_space_group_name_H-M_alt 'I 4/m m m'
_space_group_IT_number 139
_space_group_name_Hall '-I 4 2'
loop_
_atom_site_label
_atom_site_fract_x
_atom_site_fract_y
_atom_site_fract_z
K1 0.000 0.000 0.000
Te1 0.000 0.500 0.250
Au1 0.000 0.000 0.289
```

Output
Raw formation energy ... -0.422 eV/atom

# 9
Material: SnSeS
Method: DFT, SCAN
State: PBEsol geometry

Cell and atoms, written as CIF:
```
data_SnSeS
_chemical_formula_sum 'Sn1 Se1 S1'
_cell_length_a 3.7288
_cell_length_b 3.7288
_cell_length_c 6.0552
_cell_angle_alpha 90.00
_cell_angle_beta 90.00
_cell_angle_gamma 120.00
_space_group_name_H-M_alt 'P 3 m 1'
_space_group_IT_number 156
loop_
_space_group_symop_operation_xyz
'x,y,z'
'-y,x-y,z'
'-x+y,-x,z'
'-y,-x,z'
'-x+y,y,z'
'x,x-y,z'
loop_
_atom_site_label
_atom_site_fract_x
_atom_site_fract_y
_atom_site_fract_z
Sn1 0.0000 0.0000 0.0000
Se1 0.3333 0.6667 0.2654
S1 0.6667 0.3333 0.7590
```

Output
Raw formation energy ... -0.361 eV/atom

# 10
Material: KAlAg2
Method: DFT, SCAN
State: PBEsol geometry

Cell and atoms, written as CIF:
```
data_KAlAg2
_chemical_formula_sum 'K3 Al3 Ag6'
_cell_length_a 3.0650
_cell_length_b 3.0650
_cell_length_c 29.8786
_cell_angle_alpha 90.00
_cell_angle_beta 90.00
_cell_angle_gamma 120.00
_space_group_name_H-M_alt 'R -3 m'
_space_group_IT_number 166
_space_group_name_Hall '-R 3 2"'
loop_
_atom_site_label
_atom_site_fract_x
_atom_site_fract_y
_atom_site_fract_z
K1 0.0000 0.0000 0.0000
Al1 0.0000 0.0000 0.5000
Ag1 0.0000 0.0000 0.2363
```

Output
Formation energy ... 0.232 eV per atom

# 11
Material: Fe2CuMo
Method: DFT, SCAN
State: PBEsol geometry

Cell and atoms, written as CIF:
```
data_Fe2CuMo
_chemical_formula_sum 'Fe4 Cu2 Mo2'
_cell_length_a 8.474
_cell_length_b 2.513
_cell_length_c 4.590
_cell_angle_alpha 90.00
_cell_angle_beta 97.36
_cell_angle_gamma 90.00
_space_group_name_H-M_alt 'C 1 2/m 1'
_space_group_IT_number 12
loop_
_space_group_symop_operation_xyz
'x,y,z'
'-x,-y,-z'
'-x,y,-z'
'x,-y,z'
'x+1/2,y+1/2,z'
'-x+1/2,-y+1/2,-z'
'-x+1/2,y+1/2,-z'
'x+1/2,-y+1/2,z'
loop_
_atom_site_label
_atom_site_fract_x
_atom_site_fract_y
_atom_site_fract_z
Fe1 0.244 0.000 0.241
Cu1 0.000 0.500 0.000
Mo1 0.000 0.000 0.500
```

Output
Energy above the most stable polymorph in this dataset ... 0 meV per atom
Formation energy ... 0.220 eV per atom

# 12
Material: Nb6PtAu
Method: DFT, SCAN
State: PBEsol geometry

Cell and atoms, written as CIF:
```
data_Nb6PtAu
_chemical_formula_sum 'Nb6 Pt1 Au1'
_cell_length_a 5.166
_cell_length_b 5.166
_cell_length_c 5.166
_cell_angle_alpha 90.00
_cell_angle_beta 90.00
_cell_angle_gamma 90.00
_space_group_name_H-M_alt 'P m -3'
_space_group_IT_number 200
_space_group_name_Hall '-P 2 2 3'
loop_
_atom_site_label
_atom_site_fract_x
_atom_site_fract_y
_atom_site_fract_z
Nb1 0.000 0.253 0.500
Pt1 0.500 0.500 0.500
Au1 0.000 0.000 0.000
```

Output
Formation energy ... -0.392 eV per atom

# 13
Material: ZrCoSb2
Method: DFT, SCAN
State: PBEsol geometry

Cell and atoms, written as CIF:
```
data_ZrCoSb2
_chemical_formula_sum 'Zr3 Co3 Sb6'
_cell_length_a 3.2476
_cell_length_b 3.2476
_cell_length_c 25.2887
_cell_angle_alpha 90.00
_cell_angle_beta 90.00
_cell_angle_gamma 120.00
_space_group_name_H-M_alt 'R -3 m'
_space_group_IT_number 166
_space_group_name_Hall '-R 3 2"'
loop_
_atom_site_label
_atom_site_fract_x
_atom_site_fract_y
_atom_site_fract_z
Zr1 0.0000 0.0000 0.0000
Co1 0.0000 0.0000 0.5000
Sb1 0.0000 0.0000 0.2368
```

Output
Raw formation energy ... 0.004 eV/atom

# 14
Material: Hg3PF
Method: DFT, SCAN
State: PBEsol geometry

Cell and atoms, written as CIF:
```
data_Hg3PF
_chemical_formula_sum 'Hg3 P1 F1'
_cell_length_a 5.022
_cell_length_b 5.022
_cell_length_c 5.022
_cell_angle_alpha 90.00
_cell_angle_beta 90.00
_cell_angle_gamma 90.00
_space_group_name_H-M_alt 'P m -3 m'
_space_group_IT_number 221
_space_group_name_Hall '-P 4 2 3'
loop_
_atom_site_label
_atom_site_fract_x
_atom_site_fract_y
_atom_site_fract_z
Hg1 0.000 0.000 0.500
P1 0.000 0.000 0.000
F1 0.500 0.500 0.500
```

Output
Raw formation energy ... -0.158 eV/atom

# 15
Material: SrMnAs
Method: DFT, SCAN
State: PBEsol geometry

Cell and atoms, written as CIF:
```
data_SrMnAs
_chemical_formula_sum 'Sr4 Mn4 As4'
_cell_length_a 6.984
_cell_length_b 6.984
_cell_length_c 6.984
_cell_angle_alpha 90.00
_cell_angle_beta 90.00
_cell_angle_gamma 90.00
_space_group_name_H-M_alt 'F -4 3 m'
_space_group_IT_number 216
_space_group_name_Hall 'F -4 2 3'
loop_
_atom_site_label
_atom_site_fract_x
_atom_site_fract_y
_atom_site_fract_z
Sr1 0.000 0.000 0.000
Mn1 0.250 0.250 0.250
As1 0.250 0.250 0.750
```

Output
Formation energy ... 0.147 eV per atom

# 16
Material: Hf8MnTe6
Method: DFT, SCAN
State: PBEsol geometry

Cell and atoms, written as CIF:
```
data_Hf8MnTe6
_chemical_formula_sum 'Hf16 Mn2 Te12'
_cell_length_a 3.682
_cell_length_b 25.738
_cell_length_c 7.562
_cell_angle_alpha 90.00
_cell_angle_beta 90.00
_cell_angle_gamma 90.00
_space_group_name_H-M_alt 'P m m n'
_space_group_IT_number 59
loop_
_space_group_symop_operation_xyz
'x,y,z'
'-x,-y,-z'
'-x+1/2,-y+1/2,z'
'x+1/2,y+1/2,-z'
'x+1/2,-y,-z'
'-x+1/2,y,z'
'-x,y+1/2,-z'
'x,-y+1/2,z'
loop_
_atom_site_label
_atom_site_fract_x
_atom_site_fract_y
_atom_site_fract_z
Hf1 0.250 0.051 0.062
Hf2 0.250 0.182 0.265
Hf3 0.250 0.250 0.930
Hf4 0.250 0.651 0.052
Hf5 0.250 0.750 0.459
Mn1 0.250 0.750 0.816
Te1 0.250 0.168 0.653
Te2 0.250 0.549 0.223
Te3 0.250 0.594 0.694
```

Output
Raw formation energy ... -0.636 eV/atom

# 17
Material: AlFeAg2
Method: DFT, SCAN
State: PBEsol geometry

Cell and atoms, written as CIF:
```
data_AlFeAg2
_chemical_formula_sum 'Al1 Fe1 Ag2'
_cell_length_a 3.827
_cell_length_b 3.827
_cell_length_c 4.005
_cell_angle_alpha 90.00
_cell_angle_beta 90.00
_cell_angle_gamma 90.00
_space_group_name_H-M_alt 'P 4/m m m'
_space_group_IT_number 123
_space_group_name_Hall '-P 4 2'
loop_
_atom_site_label
_atom_site_fract_x
_atom_site_fract_y
_atom_site_fract_z
Al1 0.000 0.000 0.000
Fe1 0.500 0.500 0.000
Ag1 0.000 0.500 0.500
```

Output
Formation energy ... 0.061 eV per atom

# 18
Material: MnCr2Pt
Method: DFT, SCAN
State: PBEsol geometry

Cell and atoms, written as CIF:
```
data_MnCr2Pt
_chemical_formula_sum 'Mn1 Cr2 Pt1'
_cell_length_a 2.607
_cell_length_b 3.519
_cell_length_c 5.255
_cell_angle_alpha 90.00
_cell_angle_beta 90.00
_cell_angle_gamma 90.00
_space_group_name_H-M_alt 'P m m 2'
_space_group_IT_number 25
loop_
_space_group_symop_operation_xyz
'x,y,z'
'-x,-y,z'
'-x,y,z'
'x,-y,z'
loop_
_atom_site_label
_atom_site_fract_x
_atom_site_fract_y
_atom_site_fract_z
Mn1 0.000 0.000 0.000
Cr1 0.000 0.000 0.574
Cr2 0.500 0.500 0.802
Pt1 0.500 0.500 0.291
```

Output
Formation energy ... -0.048 eV per atom

# 19
Material: Zn2CrMo
Method: DFT, SCAN
State: PBEsol geometry

Cell and atoms, written as CIF:
```
data_Zn2CrMo
_chemical_formula_sum 'Zn4 Cr2 Mo2'
_cell_length_a 8.764
_cell_length_b 2.541
_cell_length_c 4.835
_cell_angle_alpha 90.00
_cell_angle_beta 95.07
_cell_angle_gamma 90.00
_space_group_name_H-M_alt 'C 1 m 1'
_space_group_IT_number 8
loop_
_space_group_symop_operation_xyz
'x,y,z'
'x,-y,z'
'x+1/2,y+1/2,z'
'x+1/2,-y+1/2,z'
loop_
_atom_site_label
_atom_site_fract_x
_atom_site_fract_y
_atom_site_fract_z
Zn1 0.000 0.000 0.000
Zn2 0.249 0.500 0.222
Cr1 0.257 0.000 0.723
Mo1 0.498 0.000 0.507
```

Output
Energy above the most stable polymorph in this dataset ... 34 meV per atom
Formation energy ... 0.198 eV per atom

# 20
Material: SbAsIO2
Method: DFT, SCAN
State: PBEsol geometry

Cell and atoms, written as CIF:
```
data_SbAsIO2
_chemical_formula_sum 'Sb1 As1 I1 O2'
_cell_length_a 3.985
_cell_length_b 3.985
_cell_length_c 6.712
_cell_angle_alpha 90.00
_cell_angle_beta 90.00
_cell_angle_gamma 90.00
_space_group_name_H-M_alt 'P 4/m m m'
_space_group_IT_number 123
_space_group_name_Hall '-P 4 2'
loop_
_atom_site_label
_atom_site_fract_x
_atom_site_fract_y
_atom_site_fract_z
Sb1 0.000 0.000 0.000
As1 0.500 0.500 0.500
I1 0.000 0.000 0.500
O1 0.000 0.500 0.000
```

Output
Energy above the most stable polymorph in this dataset ... 0 meV per atom
Raw formation energy ... -0.121 eV/atom